Record 1
The following is a DFT calculation (PBE-GGA) of a relaxed structure of AcPmZn4.

a b c (Å): 8.0547 8.0547 8.0547
angles (deg): 90.00 90.00 90.00
With the nearest neighbours (Å) after each atom.
Space group F-43m (No. 216)
Symmetry-distinct sites (fractional):
Ac 0.0000 0.0000 0.0000 (multiplicity 4)  12 Zn 3.34, 4 Pm 3.49
Pm 0.2500 0.2500 0.2500 (multiplicity 4)  12 Zn 3.34, 4 Ac 3.49
Zn 0.1233 0.1233 0.6233 (multiplicity 16)  6 Zn 2.81-2.89

Calculated values
For the density of states at the Fermi level, the calculation gives 3.36 states/eV/f.u. The formation energy comes out at -0.275 eV per atom. As for the energy above the most stable polymorph in this dataset: 8 meV/atom.


Record 2
The following is a DFT calculation (PBE-GGA) of a relaxed structure of GaCuRh2.

a b c (Å): 3.7569 3.7569 17.4288
angles (deg): 90.00 90.00 90.00
With the nearest neighbours (Å) after each atom.
Space group I-42d (No. 122)
Symmetry-distinct sites (fractional):
Ga 0.0000 0.0000 0.0000 (multiplicity 4)  4 Rh 2.57, 4 Cu 2.66
Cu 0.0000 0.0000 0.5000 (multiplicity 4)  4 Rh 2.54, 4 Ga 2.66
Rh 0.2396 0.2500 0.6250 (multiplicity 8)  2 Cu 2.54, 2 Ga 2.57, 4 Rh 2.60-2.71

Calculated values
For the density of states at the Fermi level, the calculation gives 6.67 states/eV/f.u. The formation energy comes out at 0.155 eV per atom.


Record 3
The following is a DFT calculation (PBE-GGA) of a relaxed structure of Ga2CuAg2.

a b c (Å): 3.6272 3.6272 13.8076
angles (deg): 90.00 90.00 90.00
With the nearest neighbours (Å) after each atom.
Space group I4/mmm (No. 139)
Symmetry-distinct sites (fractional):
Ga 0.0000 0.5000 0.2500 (multiplicity 4)  4 Ga 2.56, 4 Ag 2.78
Cu 0.0000 0.0000 0.0000 (multiplicity 2)  8 Ag 2.89
Ag 0.0000 0.0000 0.4029 (multiplicity 4)  1 Ag 2.68, 4 Ga 2.78, 4 Cu 2.89

Calculated values
For the density of states at the Fermi level, the calculation gives 1.66 states/eV/f.u. The formation energy comes out at 0.227 eV per atom. As for the energy above the most stable polymorph in this dataset: 130 meV/atom.


Record 4
The following is a DFT calculation (PBE-GGA) of a relaxed structure of TmGe2Ir3.

a b c (Å): 3.9570 3.9570 15.5971
angles (deg): 90.00 90.00 90.00
With the nearest neighbours (Å) after each atom.
Space group I4/mmm (No. 139)
Symmetry-distinct sites (fractional):
Tm 0.0000 0.0000 0.0000 (multiplicity 2)  4 Ir 2.80
Ge 0.0000 0.0000 0.3453 (multiplicity 4)  5 Ir 2.41-2.47
Ir 0.0000 0.0000 0.5000 (multiplicity 2)  2 Ge 2.41
Ir 0.0000 0.5000 0.2500 (multiplicity 4)  4 Ge 2.47

Calculated values
For the density of states at the Fermi level, the calculation gives 2.46 states/eV/f.u. The formation energy comes out at -0.399 eV per atom.